## i
# PaTiHg PBE-GGA optimized geometry
# Fermi-level density of states = 4.32 states/eV/f.u.
# space-group type = Imm2, No. 44
data_PaTiHg
_chemical_formula_sum 'Pa1 Ti1 Hg1'
_cell_length_a 7.972
_cell_length_b 7.972
_cell_length_c 7.972
_cell_angle_alpha 159.04
_cell_angle_beta 158.54
_cell_angle_gamma 30.17
_space_group_name_H-M_alt 'P 1'
_space_group_IT_number 1
loop_
_space_group_symop_operation_xyz
'x,y,z'
loop_
_atom_site_label
_atom_site_type_symbol
_atom_site_fract_x
_atom_site_fract_y
_atom_site_fract_z
Pa1 Pa 0.000 0.000 0.000
Ti1 Ti 0.163 0.663 0.500
Hg1 Hg 0.805 0.305 0.500

***

## ii
# PaTiHg PBE-GGA optimized geometry
# Fermi-level density of states = 6.60 states/eV/f.u.
# space-group type = P-6m2, No. 187
data_PaTiHg
_chemical_formula_sum 'Pa1 Ti1 Hg1'
_cell_length_a 4.996
_cell_length_b 4.996
_cell_length_c 3.080
_cell_angle_alpha 90.00
_cell_angle_beta 90.00
_cell_angle_gamma 120.00
_space_group_name_H-M_alt 'P 1'
_space_group_IT_number 1
loop_
_space_group_symop_operation_xyz
'x,y,z'
loop_
_atom_site_label
_atom_site_type_symbol
_atom_site_fract_x
_atom_site_fract_y
_atom_site_fract_z
Pa1 Pa 0.000 0.000 0.000
Ti1 Ti 0.667 0.333 0.500
Hg1 Hg 0.333 0.667 0.500

***

Top of the stability list: ii, leading by 0.144 eV/atom.